Material: NaPrEuWO6
Method: DFT, GGA+U
State: relaxed

Geometry as POSCAR:
```
NaPrEuWO6
1.0
0.0000 4.2762 4.2762
4.2762 0.0000 4.2762
4.2762 4.2762 0.0000
Na Pr Eu W O
1 1 1 1 6
Cartesian
0.0000 0.0000 0.0000
6.4143 6.4143 6.4143
4.2762 4.2762 4.2762
2.1381 2.1381 2.1381
2.1381 2.1381 0.1895
2.1381 0.1895 2.1381
4.0867 2.1381 2.1381
0.1895 2.1381 2.1381
2.1381 4.0867 2.1381
2.1381 2.1381 4.0867
```

Values from the calculation:
Calculated total energy (eV per atom): -7.7942
Symmetry: F-43m, No. 216